1.
First-principles (PBE-GGA) data for KCa2Fe after structural relaxation, as listed in Alexandria via LeMat-Bulk.

CIF file:
```
data_KCa2Fe
_cell_length_a 8.055
_cell_length_b 8.055
_cell_length_c 8.055
_cell_angle_alpha 90.00
_cell_angle_beta 90.00
_cell_angle_gamma 90.00
_space_group_name_H-M_alt 'F m -3 m'
_space_group_IT_number 225
_space_group_name_Hall '-F 4 2 3'
loop_
_atom_site_label
_atom_site_type_symbol
_atom_site_fract_x
_atom_site_fract_y
_atom_site_fract_z
_atom_site_occupancy
K1 K 0.000 0.000 0.000 1
Ca1 Ca 0.250 0.250 0.250 1
Fe1 Fe 0.000 0.000 0.500 1
```

Summary:
Its offset from the most stable computed form is 271.6 meV/atom. The formation energy is 2.70 eV/f.u.

=====

2.
First-principles (PBE-GGA) data for Tb8PrNd6 after structural relaxation, as listed in Alexandria via LeMat-Bulk.

CIF file:
```
data_Tb8PrNd6
_cell_length_a 9.1816
_cell_length_b 9.1816
_cell_length_c 20.9667
_cell_angle_alpha 90.00
_cell_angle_beta 90.00
_cell_angle_gamma 120.00
_space_group_name_H-M_alt 'R -3'
_space_group_IT_number 148
_space_group_name_Hall '-R 3'
loop_
_atom_site_label
_atom_site_type_symbol
_atom_site_fract_x
_atom_site_fract_y
_atom_site_fract_z
_atom_site_occupancy
Tb1 Tb 0.0000 0.0000 0.0766 1
Tb2 Tb 0.0800 0.5555 0.3077 1
Pr1 Pr 0.0000 0.0000 0.5000 1
Nd1 Nd 0.0589 0.2465 0.2096 1
```

Summary:
The formation energy is 1.84 eV/f.u.

=====

3.
First-principles (PBE-GGA) data for Cs2PrSmS4 after structural relaxation, as listed in Alexandria via LeMat-Bulk.

CIF file:
```
data_Cs2PrSmS4
_cell_length_a 7.347
_cell_length_b 4.241
_cell_length_c 8.462
_cell_angle_alpha 90.00
_cell_angle_beta 106.80
_cell_angle_gamma 90.00
_space_group_name_H-M_alt 'P 1 2/m 1'
_space_group_IT_number 10
loop_
_space_group_symop_operation_xyz
'x,y,z'
'-x,-y,-z'
'-x,y,-z'
'x,-y,z'
loop_
_atom_site_label
_atom_site_type_symbol
_atom_site_fract_x
_atom_site_fract_y
_atom_site_fract_z
_atom_site_occupancy
Cs1 Cs 0.000 0.000 0.000 1
Cs2 Cs 0.500 0.500 0.000 1
Pr1 Pr 0.000 0.500 0.500 1
Sm1 Sm 0.500 0.000 0.500 1
S1 S 0.233 0.000 0.687 1
S2 S 0.276 0.500 0.315 1
```

Summary:
The uncorrected formation energy is -1.81 eV per atom.

=====

4.
First-principles (PBE-GGA) data for Ba3Pd3Pb8 after structural relaxation, as listed in Alexandria via LeMat-Bulk.

CIF file:
```
data_Ba3Pd3Pb8
_cell_length_a 18.331
_cell_length_b 5.227
_cell_length_c 10.525
_cell_angle_alpha 90.00
_cell_angle_beta 124.36
_cell_angle_gamma 90.00
_space_group_name_H-M_alt 'C 1 2/m 1'
_space_group_IT_number 12
loop_
_space_group_symop_operation_xyz
'x,y,z'
'-x,-y,-z'
'-x,y,-z'
'x,-y,z'
'x+1/2,y+1/2,z'
'-x+1/2,-y+1/2,-z'
'-x+1/2,y+1/2,-z'
'x+1/2,-y+1/2,z'
loop_
_atom_site_label
_atom_site_type_symbol
_atom_site_fract_x
_atom_site_fract_y
_atom_site_fract_z
_atom_site_occupancy
Ba1 Ba 0.000 0.000 0.000 1
Ba2 Ba 0.209 0.500 0.704 1
Pd1 Pd 0.000 0.000 0.500 1
Pd2 Pd 0.155 0.500 0.315 1
Pb1 Pb 0.004 0.500 0.333 1
Pb2 Pb 0.140 0.000 0.846 1
Pb3 Pb 0.150 0.500 0.042 1
Pb4 Pb 0.151 0.000 0.434 1
```

Summary:
Its offset from the most stable computed form is 0.0 meV/atom. The formation energy is -5.43 eV/f.u.

=====

5.
First-principles (PBE-GGA) data for RbOsRh after structural relaxation, as listed in Alexandria via LeMat-Bulk.

CIF file:
```
data_RbOsRh
_cell_length_a 4.0109
_cell_length_b 4.0109
_cell_length_c 11.8535
_cell_angle_alpha 90.00
_cell_angle_beta 90.00
_cell_angle_gamma 120.00
_space_group_name_H-M_alt 'P 63 m c'
_space_group_IT_number 186
_space_group_name_Hall 'P 6c -2c'
loop_
_atom_site_label
_atom_site_type_symbol
_atom_site_fract_x
_atom_site_fract_y
_atom_site_fract_z
_atom_site_occupancy
Rb1 Rb 0.0000 0.0000 0.0000 1
Os1 Os 0.3333 0.6667 0.2282 1
Rh1 Rh 0.3333 0.6667 0.7770 1
```

Summary:
Its offset from the most stable computed form is 495.1 meV/atom. The formation energy is 2.92 eV/f.u.

=====

6.
First-principles (PBE-GGA) data for MoAsBr2 after structural relaxation, as listed in Alexandria via LeMat-Bulk.

CIF file:
```
data_MoAsBr2
_cell_length_a 4.601
_cell_length_b 4.601
_cell_length_c 4.214
_cell_angle_alpha 90.00
_cell_angle_beta 90.00
_cell_angle_gamma 90.00
_space_group_name_H-M_alt 'P 4/m m m'
_space_group_IT_number 123
_space_group_name_Hall '-P 4 2'
loop_
_atom_site_label
_atom_site_type_symbol
_atom_site_fract_x
_atom_site_fract_y
_atom_site_fract_z
_atom_site_occupancy
Mo1 Mo 0.000 0.000 0.000 1
As1 As 0.500 0.500 0.000 1
Br1 Br 0.000 0.500 0.500 1
```

Summary:
Its offset from the most stable computed form is 1133.4 meV/atom. The uncorrected formation energy is 0.96 eV per atom.

=====

no.,DOS at the Fermi energy (states/eV/cell)
1,29.38
2,64.53
3,0.00
4,18.01
5,4.20
6,2.81